Entry 1:
# Tb2CuRuC

A relaxed Tb2CuRuC crystal (PBE, Alexandria via LeMat-Bulk).

Cell and atoms, written as extended XYZ:
```
5
Lattice="-2.1191 -2.8418 -1.5321 2.1623 0.7639 -4.4076 3.5465 -3.2764 1.1720" Properties=species:S:1:pos:R:3 pbc="T T T"
Tb 1.0811 0.3819 -2.2038
Tb 1.7733 -1.6382 0.5860
Cu 1.7949 -2.6772 -2.3839
C 0.0000 0.0000 0.0000
Ru -1.0595 -1.4209 -0.7660
```

E_form, eV/atom: -0.29
Calculated volume, Å³/f.u.: 95
Density of states at the Fermi level, states/eV per atom: 0.5160
Density, g cm⁻³: 8.61
Calculated total energy, eV per atom: -6.6644
Space group: P4/mmm, No. 123

Entry 2:
# MgTaP

A relaxed MgTaP crystal (PBE, Alexandria via LeMat-Bulk).

Cell and atoms, written as extended XYZ:
```
3
Lattice="6.6249 -0.0227 0.0178 5.7542 2.8483 0.0284 0.8708 -0.6751 2.7905" Properties=species:S:1:pos:R:3 pbc="T T T"
Ta 8.7473 1.7208 0.9122
P 4.5750 0.4517 1.9072
Mg 12.3067 2.8035 0.0634
```

E_form, eV/atom: -0.08
Calculated volume, Å³/f.u.: 53
Density of states at the Fermi level, states/eV per atom: 0.4051
Density, g cm⁻³: 7.40
Calculated total energy, eV per atom: -6.3673
Space group: Fmm2, No. 42
ΔE to the lowest computed polymorph, meV/atom: 179

Entry 3:
# TbSm2Zn2Ge2

A relaxed TbSm2Zn2Ge2 crystal (PBE, Alexandria via LeMat-Bulk).

Cell and atoms, written as extended XYZ:
```
7
Lattice="4.1634 0.0000 0.0000 2.0817 3.6056 0.0000 2.0817 1.2019 11.2686" Properties=species:S:1:pos:R:3 pbc="T T T"
Sm 6.2451 3.6056 4.1288
Sm 2.0817 1.2019 7.1398
Ge 2.0817 1.2019 2.1133
Ge 6.2451 3.6056 9.1553
Zn 4.1634 2.4037 1.9723
Zn 4.1634 2.4037 9.2962
Tb 0.0000 0.0000 0.0000
```

E_form, eV/atom: -0.47
Calculated volume, Å³/f.u.: 169
Density of states at the Fermi level, states/eV per atom: 1.1749
Density, g cm⁻³: 7.22
Calculated total energy, eV per atom: -4.1651
Space group: R-3m, No. 166

Entry 4:
# Er5PaSb6

A relaxed Er5PaSb6 crystal (PBE, Alexandria via LeMat-Bulk).

Cell and atoms, written as extended XYZ:
```
12
Lattice="7.4030 -0.1155 -1.3948 -4.0001 6.2303 -1.3948 0.1458 0.2620 7.5273" Properties=species:S:1:pos:R:3 pbc="T T T"
Sb 0.9581 1.7216 4.9557
Sb -1.0100 2.6481 1.1883
Sb 2.7828 0.5374 1.1883
Sb 2.5906 4.6552 -0.2180
Sb 4.5588 3.7287 3.5494
Sb 0.7660 5.8394 3.5494
Er -2.0239 5.3021 2.3688
Er 3.6011 2.0002 -1.3948
Er 1.7744 3.1884 2.3688
Er -0.1982 4.1146 -1.3948
Er 5.5726 1.0747 2.3688
Pa 0.0000 0.0000 0.0000
```

Calculated volume, Å³/f.u.: 349
Density of states at the Fermi level, states/eV per atom: 0.5076
Density, g cm⁻³: 8.55
Calculated total energy, eV per atom: -5.7416
Space group: C2/m, No. 12
Formation energy from raw total energies, eV/atom: -0.988

Entry 5:
# Ce10In6Ga

A relaxed Ce10In6Ga crystal (PBE, Alexandria via LeMat-Bulk).

Cell and atoms, written as extended XYZ:
```
17
Lattice="-3.3217 -3.5229 3.9288 5.9168 -7.4135 -1.6451 1.8918 6.1764 7.1378" Properties=species:S:1:pos:R:3 pbc="T T T"
In 3.9125 -1.6611 4.3632
In -0.1172 1.5002 3.7909
In -1.3127 1.1533 7.2757
In 1.4508 -3.7939 0.3694
In 0.5744 -3.0989 5.0583
In 1.1443 -7.1425 1.9143
Ce 1.5726 -0.1150 6.1746
Ce 3.2346 -3.5864 7.0317
Ce 0.5946 3.7046 6.2080
Ce 4.5751 -2.8835 1.2825
Ce -2.0245 -1.0512 4.8586
Ce -0.9667 -4.6229 2.5503
Ce 1.2523 -1.1736 2.3898
Ce 3.2335 1.6464 4.2102
Ce 3.5617 -6.3135 -0.2665
Ce 2.9143 -4.6450 3.2470
Ga -1.6609 -1.7615 1.9644
```

E_form, eV/atom: -0.23
Calculated volume, Å³/f.u.: 500
Density of states at the Fermi level, states/eV per atom: 3.2618
Density, g cm⁻³: 7.17
Calculated total energy, eV per atom: -4.8613
Space group: P-31m, No. 162

Entry 6:
# HoGe2Ir4

A relaxed HoGe2Ir4 crystal (PBE, Alexandria via LeMat-Bulk).

Cell and atoms, written as extended XYZ:
```
28
Lattice="-2.8730 2.3243 2.0755 -4.0791 -1.3340 -4.1527 -4.9290 -14.6053 9.5332" Properties=species:S:1:pos:R:3 pbc="T T T"
Ir -5.0393 -9.7477 6.1045
Ir -7.8532 -6.2096 2.5746
Ir -9.6593 -13.2969 8.0114
Ir -4.9139 -6.1722 2.2738
Ir -9.1883 -14.0667 5.1977
Ir -6.9193 -10.4432 8.6085
Ir -6.9672 -7.4428 5.1821
Ir -2.7366 -2.4980 1.1732
Ir -2.2217 -0.3180 -0.5555
Ir -5.0288 -3.3282 3.2575
Ir -4.0279 -7.4054 4.8813
Ir -9.1445 -11.1169 6.2827
Ir -6.8418 -3.8672 1.3514
Ir -4.9618 -3.1718 -1.1526
Ir -6.8523 -10.2867 4.1984
Ir -2.6927 0.4518 2.2582
Ge -4.0999 -1.0484 -2.3375
Ge -6.3170 -8.2701 2.6810
Ge -5.5641 -5.3448 4.7749
Ge -8.4505 -12.0980 4.0144
Ge -3.4306 -1.5170 3.4415
Ge -7.5399 -9.3575 6.5336
Ge -7.7812 -12.5665 9.7934
Ge -4.3412 -4.2574 0.9223
Ho -9.2020 -8.7086 3.5060
Ho -6.9383 -12.7959 6.8893
Ho -2.6790 -4.9064 3.9499
Ho -4.9428 -0.8190 0.5666
```

E_form, eV/atom: -0.43
Calculated volume, Å³/f.u.: 115
Density of states at the Fermi level, states/eV per atom: 0.3907
Density, g cm⁻³: 15.62
Calculated total energy, eV per atom: -7.4680
Space group: Pnma, No. 62
ΔE to the lowest computed polymorph, meV/atom: 0